First-principles (PBE) data for ZrGaCuS2 after structural relaxation, as listed in Alexandria via LeMat-Bulk.

Properties
symmetry	No. 123
formation energy without anion corrections	0.30	eV per atom
ρ	4.776	g/cm3
final energy	-4.49	eV/atom

a = 4.4429 Å, b = 4.4429 Å, c = 5.0838 Å
α = 90.00°, β = 90.00°, γ = 90.00°
Last column: nearest neighbours and their distance in Å.
Fractional positions:
Zr 0.0000 0.0000 0.0000  2 Cu 2.54
Ga 0.5000 0.5000 0.0000  4 Zr 3.14, 8 S 3.38
Cu 0.0000 0.0000 0.5000  4 S 2.22
S 0.0000 0.5000 0.5000  2 Cu 2.22
S 0.5000 0.0000 0.5000  2 Cu 2.22

First-principles (PBE) data for GaCuSb after structural relaxation, as listed in Alexandria via LeMat-Bulk.

Properties
symmetry	No. 216
formation energy without anion corrections	0.01	eV per atom
ρ	6.939	g/cm3
final energy	-3.74	eV/atom

a = 4.4194 Å, b = 4.4194 Å, c = 4.4194 Å
α = 60.00°, β = 60.00°, γ = 60.00°
Last column: nearest neighbours and their distance in Å.
Fractional positions:
Ga 0.0000 0.0000 0.0000  4 Cu 2.71
Cu 0.7500 0.7500 0.7500  4 Sb 2.71, 4 Ga 2.71
Sb 0.5000 0.5000 0.5000  4 Cu 2.71

First-principles (PBE) data for Ga2Cu2Sb after structural relaxation, as listed in Alexandria via LeMat-Bulk.

Properties
relative energy among the computed polymorphs	0.0	meV/atom
symmetry	No. 139
formation energy without anion corrections	0.04	eV per atom
ρ	7.494	g/cm3
final energy	-3.63	eV/atom

a = 6.4475 Å, b = 6.4475 Å, c = 6.4475 Å
α = 145.39°, β = 145.39°, γ = 49.75°
Last column: nearest neighbours and their distance in Å.
Fractional positions:
Ga 0.2500 0.7500 0.5000  4 Cu 2.57, 4 Ga 2.71
Ga 0.7500 0.2500 0.5000  4 Cu 2.57, 4 Ga 2.71
Cu 0.1043 0.1043 0.0000  1 Cu 2.44, 4 Ga 2.57
Cu 0.8957 0.8957 0.0000  1 Cu 2.44, 4 Ga 2.57
Sb 0.5000 0.5000 0.0000  8 Cu 2.97

First-principles (PBE) data for Ga2Cu2Sb after structural relaxation, as listed in Alexandria via LeMat-Bulk.

Properties
relative energy among the computed polymorphs	111.7	meV/atom
symmetry	No. 127
formation energy without anion corrections	0.15	eV per atom
ρ	7.459	g/cm3
final energy	-3.52	eV/atom

a = 7.8990 Å, b = 7.8990 Å, c = 2.7710 Å
α = 90.00°, β = 90.00°, γ = 90.00°
Last column: nearest neighbours and their distance in Å.
Fractional positions:
Ga 0.1274 0.3726 0.0000  6 Cu 2.65-2.75, 3 Ga 2.77-2.85
Ga 0.3726 0.8726 0.0000  6 Cu 2.65-2.75, 3 Ga 2.77-2.85
Ga 0.6274 0.1274 0.0000  6 Cu 2.65-2.75, 3 Ga 2.77-2.85
Ga 0.8726 0.6274 0.0000  6 Cu 2.65-2.75, 3 Ga 2.77-2.85
Cu 0.1701 0.6701 0.5000  6 Ga 2.65-2.75, 2 Cu 2.77
Cu 0.3299 0.1701 0.5000  6 Ga 2.65-2.75, 2 Cu 2.77
Cu 0.6701 0.8299 0.5000  6 Ga 2.65-2.75, 2 Cu 2.77
Cu 0.8299 0.3299 0.5000  6 Ga 2.65-2.75, 2 Cu 2.77
Sb 0.0000 0.0000 0.0000  2 Sb 2.77
Sb 0.5000 0.5000 0.0000  2 Sb 2.77

First-principles (PBE) data for GaCuSb2 after structural relaxation, as listed in Alexandria via LeMat-Bulk.

Properties
symmetry	No. 122
formation energy without anion corrections	0.10	eV per atom
ρ	5.685	g/cm3
final energy	-3.74	eV/atom

a = 7.3420 Å, b = 7.3420 Å, c = 7.3420 Å
α = 131.06°, β = 131.06°, γ = 71.71°
Last column: nearest neighbours and their distance in Å.
Fractional positions:
Ga 0.0000 0.0000 0.0000  4 Sb 2.69
Ga 0.7500 0.2500 0.5000  4 Sb 2.69
Cu 0.2500 0.7500 0.5000  4 Sb 2.54
Cu 0.5000 0.5000 0.0000  4 Sb 2.54
Sb 0.1464 0.6250 0.0214  2 Cu 2.54, 2 Ga 2.69
Sb 0.3750 0.3964 0.5214  2 Cu 2.54, 2 Ga 2.69
Sb 0.6036 0.1250 0.9786  2 Cu 2.54, 2 Ga 2.69
Sb 0.8750 0.8536 0.4786  2 Cu 2.54, 2 Ga 2.69

First-principles (PBE) data for GaCuSb after structural relaxation, as listed in Alexandria via LeMat-Bulk.

Properties
symmetry	No. 44
formation energy without anion corrections	0.01	eV per atom
ρ	6.938	g/cm3
final energy	-3.74	eV/atom

a = 4.3967 Å, b = 4.3967 Å, c = 4.3967 Å
α = 122.55°, β = 114.39°, γ = 92.81°
Last column: nearest neighbours and their distance in Å.
Fractional positions:
Ga 0.0000 0.0000 0.0000  4 Cu 2.59-2.83, 1 Sb 2.89
Cu 0.7527 0.2527 0.5000  4 Ga 2.59-2.83, 4 Sb 2.69-2.74
Sb 0.4772 0.4772 0.0000  4 Cu 2.69-2.74, 1 Ga 2.89

First-principles (PBE) data for Ga2Cu2Sb after structural relaxation, as listed in Alexandria via LeMat-Bulk.

Properties
relative energy among the computed polymorphs	92.8	meV/atom
symmetry	No. 139
formation energy without anion corrections	0.13	eV per atom
ρ	7.310	g/cm3
final energy	-3.54	eV/atom

a = 6.4489 Å, b = 6.4489 Å, c = 6.4489 Å
α = 144.91°, β = 144.91°, γ = 50.48°
Last column: nearest neighbours and their distance in Å.
Fractional positions:
Ga 0.1126 0.1126 0.0000  4 Cu 2.52, 1 Ga 2.63
Ga 0.8874 0.8874 0.0000  4 Cu 2.52, 1 Ga 2.63
Cu 0.2500 0.7500 0.5000  4 Ga 2.52, 4 Cu 2.75
Cu 0.7500 0.2500 0.5000  4 Ga 2.52, 4 Cu 2.75
Sb 0.5000 0.5000 0.0000  8 Ga 3.05

First-principles (PBE) data for GaCuSb3 after structural relaxation, as listed in Alexandria via LeMat-Bulk.

Properties
relative energy among the computed polymorphs	0.0	meV/atom
symmetry	No. 221
formation energy without anion corrections	0.45	eV per atom
ρ	6.071	g/cm3
final energy	-3.44	eV/atom

a = 5.1470 Å, b = 5.1470 Å, c = 5.1470 Å
α = 90.00°, β = 90.00°, γ = 90.00°
Last column: nearest neighbours and their distance in Å.
Fractional positions:
Ga 0.0000 0.0000 0.0000  12 Sb 3.64
Cu 0.5000 0.5000 0.5000  6 Sb 2.57
Sb 0.0000 0.5000 0.5000  2 Cu 2.57
Sb 0.5000 0.0000 0.5000  2 Cu 2.57
Sb 0.5000 0.5000 0.0000  2 Cu 2.57

First-principles (PBE) data for Ga12Cu3Sb5 after structural relaxation, as listed in Alexandria via LeMat-Bulk.

Properties
symmetry	No. 230
formation energy without anion corrections	0.06	eV per atom
ρ	5.805	g/cm3
final energy	-3.40	eV/atom

a = 13.4480 Å, b = 13.4480 Å, c = 13.4480 Å
α = 109.47°, β = 109.47°, γ = 109.47°
Last column: nearest neighbours and their distance in Å.
Fractional positions:
Ga 0.0558 0.6343 0.3834  1 Cu 2.43, 1 Ga 2.68, 1 Sb 2.69
Ga 0.0558 0.9215 0.6723  1 Cu 2.43, 1 Ga 2.68, 1 Sb 2.69
Ga 0.0785 0.2508 0.1343  1 Cu 2.43, 1 Ga 2.68, 1 Sb 2.69
Ga 0.0785 0.3277 0.9442  1 Cu 2.43, 1 Ga 2.68, 1 Sb 2.69
Ga 0.1166 0.7508 0.6723  1 Cu 2.43, 1 Ga 2.68, 1 Sb 2.69
Ga 0.1166 0.8657 0.4442  1 Cu 2.43, 1 Ga 2.68, 1 Sb 2.69
Ga 0.1343 0.0785 0.2508  1 Cu 2.43, 1 Ga 2.68, 1 Sb 2.69
Ga 0.1343 0.5558 0.8834  1 Cu 2.43, 1 Ga 2.68, 1 Sb 2.69
Ga 0.1723 0.2508 0.6166  1 Cu 2.43, 1 Ga 2.68, 1 Sb 2.69
Ga 0.1723 0.4215 0.5558  1 Cu 2.43, 1 Ga 2.68, 1 Sb 2.69
Ga 0.2492 0.3277 0.8834  1 Cu 2.43, 1 Ga 2.68, 1 Sb 2.69
Ga 0.2492 0.4215 0.3657  1 Cu 2.43, 1 Ga 2.68, 1 Sb 2.69
Ga 0.2508 0.1343 0.0785  1 Cu 2.43, 1 Ga 2.68, 1 Sb 2.69
Ga 0.2508 0.6166 0.1723  1 Cu 2.43, 1 Ga 2.68, 1 Sb 2.69
Ga 0.3277 0.8834 0.2492  1 Cu 2.43, 1 Ga 2.68, 1 Sb 2.69
Ga 0.3277 0.9442 0.0785  1 Cu 2.43, 1 Ga 2.68, 1 Sb 2.69
Ga 0.3657 0.2492 0.4215  1 Cu 2.43, 1 Ga 2.68, 1 Sb 2.69
Ga 0.3657 0.6166 0.9442  1 Cu 2.43, 1 Ga 2.68, 1 Sb 2.69
Ga 0.3834 0.0558 0.6343  1 Cu 2.43, 1 Ga 2.68, 1 Sb 2.69
Ga 0.3834 0.8277 0.7492  1 Cu 2.43, 1 Ga 2.68, 1 Sb 2.69
Ga 0.4215 0.3657 0.2492  1 Cu 2.43, 1 Ga 2.68, 1 Sb 2.69
Ga 0.4215 0.5558 0.1723  1 Cu 2.43, 1 Ga 2.68, 1 Sb 2.69
Ga 0.4442 0.1166 0.8657  1 Cu 2.43, 1 Ga 2.68, 1 Sb 2.69
Ga 0.4442 0.8277 0.5785  1 Cu 2.43, 1 Ga 2.68, 1 Sb 2.69
Ga 0.5558 0.1723 0.4215  1 Cu 2.43, 1 Ga 2.68, 1 Sb 2.69
Ga 0.5558 0.8834 0.1343  1 Cu 2.43, 1 Ga 2.68, 1 Sb 2.69
Ga 0.5785 0.4442 0.8277  1 Cu 2.43, 1 Ga 2.68, 1 Sb 2.69
Ga 0.5785 0.6343 0.7508  1 Cu 2.43, 1 Ga 2.68, 1 Sb 2.69
Ga 0.6166 0.1723 0.2508  1 Cu 2.43, 1 Ga 2.68, 1 Sb 2.69
Ga 0.6166 0.9442 0.3657  1 Cu 2.43, 1 Ga 2.68, 1 Sb 2.69
Ga 0.6343 0.3834 0.0558  1 Cu 2.43, 1 Ga 2.68, 1 Sb 2.69
Ga 0.6343 0.7508 0.5785  1 Cu 2.43, 1 Ga 2.68, 1 Sb 2.69
Ga 0.6723 0.0558 0.9215  1 Cu 2.43, 1 Ga 2.68, 1 Sb 2.69
Ga 0.6723 0.1166 0.7508  1 Cu 2.43, 1 Ga 2.68, 1 Sb 2.69
Ga 0.7492 0.3834 0.8277  1 Cu 2.43, 1 Ga 2.68, 1 Sb 2.69
Ga 0.7492 0.8657 0.9215  1 Cu 2.43, 1 Ga 2.68, 1 Sb 2.69
Ga 0.7508 0.5785 0.6343  1 Cu 2.43, 1 Ga 2.68, 1 Sb 2.69
Ga 0.7508 0.6723 0.1166  1 Cu 2.43, 1 Ga 2.68, 1 Sb 2.69
Ga 0.8277 0.5785 0.4442  1 Cu 2.43, 1 Ga 2.68, 1 Sb 2.69
Ga 0.8277 0.7492 0.3834  1 Cu 2.43, 1 Ga 2.68, 1 Sb 2.69
Ga 0.8657 0.4442 0.1166  1 Cu 2.43, 1 Ga 2.68, 1 Sb 2.69
Ga 0.8657 0.9215 0.7492  1 Cu 2.43, 1 Ga 2.68, 1 Sb 2.69
Ga 0.8834 0.1343 0.5558  1 Cu 2.43, 1 Ga 2.68, 1 Sb 2.69
Ga 0.8834 0.2492 0.3277  1 Cu 2.43, 1 Ga 2.68, 1 Sb 2.69
Ga 0.9215 0.6723 0.0558  1 Cu 2.43, 1 Ga 2.68, 1 Sb 2.69
Ga 0.9215 0.7492 0.8657  1 Cu 2.43, 1 Ga 2.68, 1 Sb 2.69
Ga 0.9442 0.0785 0.3277  1 Cu 2.43, 1 Ga 2.68, 1 Sb 2.69
Ga 0.9442 0.3657 0.6166  1 Cu 2.43, 1 Ga 2.68, 1 Sb 2.69
Cu 0.1250 0.2500 0.3750  4 Ga 2.43
Cu 0.1250 0.3750 0.7500  4 Ga 2.43
Cu 0.2500 0.3750 0.1250  4 Ga 2.43
Cu 0.2500 0.8750 0.6250  4 Ga 2.43
Cu 0.3750 0.1250 0.2500  4 Ga 2.43
Cu 0.3750 0.7500 0.1250  4 Ga 2.43
Cu 0.6250 0.2500 0.8750  4 Ga 2.43
Cu 0.6250 0.8750 0.7500  4 Ga 2.43
Cu 0.7500 0.1250 0.3750  4 Ga 2.43
Cu 0.7500 0.6250 0.8750  4 Ga 2.43
Cu 0.8750 0.6250 0.2500  4 Ga 2.43
Cu 0.8750 0.7500 0.6250  4 Ga 2.43
Sb 0.0000 0.0000 0.0000  6 Ga 2.84
Sb 0.0000 0.0000 0.5000  6 Ga 2.84
Sb 0.0000 0.5000 0.0000  6 Ga 2.84
Sb 0.0000 0.5000 0.5000  6 Ga 2.84
Sb 0.1250 0.7500 0.8750  4 Ga 2.69
Sb 0.1250 0.8750 0.2500  4 Ga 2.69
Sb 0.2500 0.1250 0.8750  4 Ga 2.69
Sb 0.2500 0.6250 0.3750  4 Ga 2.69
Sb 0.3750 0.2500 0.6250  4 Ga 2.69
Sb 0.3750 0.6250 0.7500  4 Ga 2.69
Sb 0.5000 0.0000 0.0000  6 Ga 2.84
Sb 0.5000 0.0000 0.5000  6 Ga 2.84
Sb 0.5000 0.5000 0.0000  6 Ga 2.84
Sb 0.5000 0.5000 0.5000  6 Ga 2.84
Sb 0.6250 0.3750 0.2500  4 Ga 2.69
Sb 0.6250 0.7500 0.3750  4 Ga 2.69
Sb 0.7500 0.3750 0.6250  4 Ga 2.69
Sb 0.7500 0.8750 0.1250  4 Ga 2.69
Sb 0.8750 0.1250 0.7500  4 Ga 2.69
Sb 0.8750 0.2500 0.1250  4 Ga 2.69

First-principles (PBE) data for GaCu4Sb after structural relaxation, as listed in Alexandria via LeMat-Bulk.

Properties
symmetry	No. 216
formation energy without anion corrections	0.07	eV per atom
ρ	8.169	g/cm3
final energy	-3.85	eV/atom

a = 5.0412 Å, b = 5.0412 Å, c = 5.0412 Å
α = 60.00°, β = 60.00°, γ = 60.00°
Last column: nearest neighbours and their distance in Å.
Fractional positions:
Ga 0.0000 0.0000 0.0000  12 Cu 2.95, 4 Sb 3.09
Cu 0.1238 0.6254 0.6254  6 Cu 2.51-2.53
Cu 0.6254 0.1238 0.6254  6 Cu 2.51-2.53
Cu 0.6254 0.6254 0.1238  6 Cu 2.51-2.53
Cu 0.6254 0.6254 0.6254  6 Cu 2.51-2.53
Sb 0.2500 0.2500 0.2500  12 Cu 2.96, 4 Ga 3.09

Q: Among the records above, which one has the highest final energy?
A: Ga12Cu3Sb5